This record from Alexandria via LeMat-Bulk describes a relaxed structure of MgCu3O. The functional is PBEsol.

* crystal system: cubic
* energy: -3.9769 eV per atom
* E_form (uncorrected): 17 meV/atom
* ρ: 5.9 g cm⁻³

a = 4.0179 Å, b = 4.0179 Å, c = 4.0179 Å
α = 90.00°, β = 90.00°, γ = 90.00°
Space group Pm-3m (No. 221)
Asymmetric unit:
Mg  0.0000  0.0000  0.0000 x1
Cu  0.0000  0.5000  0.5000 x3
O  0.5000  0.5000  0.5000 x1

=====

This record from Alexandria via LeMat-Bulk describes a relaxed structure of Mg4CuO5. The functional is PBEsol.

* crystal system: tetragonal
* energy: -6.0235 eV per atom
* E_form (uncorrected): -2279 meV/atom
* ρ: 4.3 g cm⁻³

a = 2.9813 Å, b = 2.9813 Å, c = 20.9865 Å
α = 90.00°, β = 90.00°, γ = 90.00°
Space group I4/mmm (No. 139)
Asymmetric unit:
Mg  0.0000  0.0000  0.0981 x4
Mg  0.0000  0.0000  0.3001 x4
Cu  0.0000  0.0000  0.5000 x2
O  0.0000  0.0000  0.0000 x2
O  0.0000  0.0000  0.1996 x4
O  0.0000  0.0000  0.4002 x4

=====

What is the formula in the second record? Mg4CuO5

=====

Which of these has the lowest energy? Mg4CuO5

=====

Number 1 is which compound? MgCu3O